# 1
Density functional theory data (PBE-GGA) for an optimized crystal structure of Re2Ni.

Calculated values
The distance to the lowest polymorph of the same formula comes out at 1.86 eV/f.u. For the formation energy from the elements, the calculation gives 583 meV per atom. The final energy comes out at -9.64 eV per atom. As for the space-group type: No. 194. The value obtained for the size of the total moment is 0.000 μB per atom.

Cell: 5.123 5.123 8.248 Å, 90.00 90.00 60.00°
Atoms (fractional coordinates):
Re 0.000 0.000 0.000
Re 0.000 0.000 0.500
Re 0.827 0.347 0.750
Re 0.347 0.827 0.750
Re 0.173 0.173 0.250
Re 0.827 0.827 0.750
Re 0.653 0.173 0.250
Re 0.173 0.653 0.250
Ni 0.667 0.667 0.093
Ni 0.667 0.667 0.407
Ni 0.333 0.333 0.593
Ni 0.333 0.333 0.907

# 2
Density functional theory data (PBE-GGA) for an optimized crystal structure of Re2Ni.

Calculated values
The distance to the lowest polymorph of the same formula comes out at 0.29 eV/f.u. For the formation energy from the elements, the calculation gives 61 meV per atom. The final energy comes out at -10.17 eV per atom. As for the space-group type: No. 12. The value obtained for the size of the total moment is 0.000 μB per atom.

Cell: 5.082 5.082 6.349 Å, 75.21 75.21 31.32°
Atoms (fractional coordinates):
Re 0.362 0.362 0.525
Re 0.684 0.684 0.864
Re 0.316 0.316 0.136
Re 0.638 0.638 0.475
Ni 0.970 0.970 0.807
Ni 0.030 0.030 0.193

Q: Which value of formation energy from the elements does entry 1 give?
A: 583 meV per atom

Q: Look up the formation energy from the elements of the second one.
A: 61 meV per atom

Q: Look up the formation energy from the elements of the second one.
A: 61 meV per atom

Q: Number 1 is which compound?
A: Re2Ni